[1]
! ZnSNO2 (PBE-GGA, optimized geometry); values from VASP
! ρ, Mg/m³: 4.13
! E_form (uncorrected), eV per atom: 1.2067
&SYSTEM
  ibrav = 0, nat = 5, ntyp = 4
/
ATOMIC_SPECIES
S 32.06 S.upf
O 16.00 O.upf
Zn 65.41 Zn.upf
N 14.01 N.upf
CELL_PARAMETERS angstrom
3.797 0.000 0.000
0.000 3.797 0.000
0.000 0.000 4.000
ATOMIC_POSITIONS crystal
S 0.500 0.500 0.500
O 0.000 0.500 0.000
O 0.500 0.000 0.000
Zn 0.000 0.000 0.000
N 0.000 0.000 0.500

[2]
! ZnSNO2 (PBE-GGA, optimized geometry); values from VASP
! ρ, Mg/m³: 4.94
! E_form (uncorrected), eV per atom: 0.4899
&SYSTEM
  ibrav = 0, nat = 5, ntyp = 4
/
ATOMIC_SPECIES
N 14.01 N.upf
O 16.00 O.upf
Zn 65.41 Zn.upf
S 32.06 S.upf
CELL_PARAMETERS angstrom
-1.696 -1.879 2.359
0.974 -2.903 -1.612
3.324 -0.147 2.273
ATOMIC_POSITIONS crystal
N 0.000 0.000 0.500
O 0.500 0.000 0.000
O 0.000 0.500 0.000
Zn 0.500 0.500 0.500
S 0.000 0.000 0.000

[3]
! ZnS2NO (PBE-GGA, optimized geometry); values from VASP
! ρ, Mg/m³: 3.88
! E_form (uncorrected), eV per atom: 1.3696
&SYSTEM
  ibrav = 0, nat = 5, ntyp = 4
/
ATOMIC_SPECIES
O 16.00 O.upf
Zn 65.41 Zn.upf
S 32.06 S.upf
N 14.01 N.upf
CELL_PARAMETERS angstrom
-0.462 3.688 2.017
-0.368 -2.057 3.677
3.784 0.204 0.493
ATOMIC_POSITIONS crystal
O 0.000 0.000 0.000
Zn 0.500 0.500 0.500
S 0.000 0.500 0.000
S 0.500 0.000 0.000
N 0.000 0.000 0.500

[4]
! ZrS2NO (PBE-GGA, optimized geometry); values from VASP
! ρ, Mg/m³: 4.71
! E_form (uncorrected), eV per atom: 0.4531
&SYSTEM
  ibrav = 0, nat = 5, ntyp = 4
/
ATOMIC_SPECIES
S 32.06 S.upf
Zr 91.22 Zr.upf
O 16.00 O.upf
N 14.01 N.upf
CELL_PARAMETERS angstrom
-3.398 -0.892 1.954
1.839 -3.097 1.785
1.116 2.416 3.043
ATOMIC_POSITIONS crystal
S 0.500 0.000 0.000
S 0.000 0.500 0.000
Zr 0.500 0.500 0.500
O 0.000 0.000 0.000
N 0.000 0.000 0.500

[5]
! ZrS2NO (PBE-GGA, optimized geometry); values from VASP
! ρ, Mg/m³: 2.81
! E_form (uncorrected), eV per atom: 0.6101
&SYSTEM
  ibrav = 0, nat = 5, ntyp = 4
/
ATOMIC_SPECIES
S 32.06 S.upf
O 16.00 O.upf
N 14.01 N.upf
Zr 91.22 Zr.upf
CELL_PARAMETERS angstrom
-1.641 -4.375 1.959
2.709 0.862 4.194
-3.327 2.024 1.733
ATOMIC_POSITIONS crystal
S 0.000 0.500 0.000
S 0.500 0.000 0.000
O 0.500 0.500 0.500
N 0.000 0.000 0.500
Zr 0.000 0.000 0.000

[6]
! ZrSNO2 (PBE-GGA, optimized geometry); values from VASP
! ρ, Mg/m³: 5.21
! E_form (uncorrected), eV per atom: -0.1974
&SYSTEM
  ibrav = 0, nat = 5, ntyp = 4
/
ATOMIC_SPECIES
S 32.06 S.upf
N 14.01 N.upf
O 16.00 O.upf
Zr 91.22 Zr.upf
CELL_PARAMETERS angstrom
-1.827 -2.979 -1.454
3.226 -1.981 0.004
-0.760 -1.231 3.478
ATOMIC_POSITIONS crystal
S 0.000 0.000 0.000
N 0.000 0.000 0.500
O 0.500 0.000 0.000
O 0.000 0.500 0.000
Zr 0.500 0.500 0.500

[7]
! ZrSN2O (PBE-GGA, optimized geometry); values from VASP
! ρ, Mg/m³: 5.46
! E_form (uncorrected), eV per atom: 0.1473
&SYSTEM
  ibrav = 0, nat = 5, ntyp = 4
/
ATOMIC_SPECIES
O 16.00 O.upf
Zr 91.22 Zr.upf
N 14.01 N.upf
S 32.06 S.upf
CELL_PARAMETERS angstrom
3.777 0.000 0.000
0.000 3.777 0.000
0.000 0.000 3.570
ATOMIC_POSITIONS crystal
O 0.000 0.000 0.500
Zr 0.500 0.500 0.500
N 0.000 0.500 0.000
N 0.500 0.000 0.000
S 0.000 0.000 0.000

[8]
! ZrSNO2 (PBE-GGA, optimized geometry); values from VASP
! ρ, Mg/m³: 3.65
! E_form (uncorrected), eV per atom: -0.2986
&SYSTEM
  ibrav = 0, nat = 5, ntyp = 4
/
ATOMIC_SPECIES
O 16.00 O.upf
N 14.01 N.upf
S 32.06 S.upf
Zr 91.22 Zr.upf
CELL_PARAMETERS angstrom
4.064 0.000 0.000
0.000 4.064 0.000
0.000 0.000 4.667
ATOMIC_POSITIONS crystal
O 0.500 0.000 0.000
O 0.000 0.500 0.000
N 0.000 0.000 0.500
S 0.500 0.500 0.500
Zr 0.000 0.000 0.000

[9]
! ZrSN2O (PBE-GGA, optimized geometry); values from VASP
! ρ, Mg/m³: 5.10
! E_form (uncorrected), eV per atom: 0.8179
&SYSTEM
  ibrav = 0, nat = 5, ntyp = 4
/
ATOMIC_SPECIES
S 32.06 S.upf
Zr 91.22 Zr.upf
O 16.00 O.upf
N 14.01 N.upf
CELL_PARAMETERS angstrom
-3.479 0.007 -1.728
-0.643 -3.610 1.280
-1.492 1.332 3.009
ATOMIC_POSITIONS crystal
S 0.000 0.000 0.500
Zr 0.500 0.500 0.500
O 0.000 0.000 0.000
N 0.500 0.000 0.000
N 0.000 0.500 0.000

[10]
! ZrSN2O (PBE-GGA, optimized geometry); values from VASP
! ρ, Mg/m³: 2.91
! E_form (uncorrected), eV per atom: 1.1036
&SYSTEM
  ibrav = 0, nat = 5, ntyp = 4
/
ATOMIC_SPECIES
N 14.01 N.upf
S 32.06 S.upf
Zr 91.22 Zr.upf
O 16.00 O.upf
CELL_PARAMETERS angstrom
4.317 0.000 0.000
0.000 4.317 0.000
0.000 0.000 5.118
ATOMIC_POSITIONS crystal
N 0.000 0.500 0.000
N 0.500 0.000 0.000
S 0.000 0.000 0.500
Zr 0.000 0.000 0.000
O 0.500 0.500 0.500

[11]
! ZrSN2O (PBE-GGA, optimized geometry); values from VASP
! ρ, Mg/m³: 3.63
! E_form (uncorrected), eV per atom: 0.5976
&SYSTEM
  ibrav = 0, nat = 5, ntyp = 4
/
ATOMIC_SPECIES
S 32.06 S.upf
N 14.01 N.upf
O 16.00 O.upf
Zr 91.22 Zr.upf
CELL_PARAMETERS angstrom
4.380 0.000 0.000
0.000 4.380 0.000
0.000 0.000 3.991
ATOMIC_POSITIONS crystal
S 0.500 0.500 0.500
N 0.000 0.500 0.000
N 0.500 0.000 0.000
O 0.000 0.000 0.500
Zr 0.000 0.000 0.000

[12]
! SbNO (PBE-GGA, optimized geometry); values from VASP
! ρ, Mg/m³: 3.73
! E_form (uncorrected), eV per atom: -0.3539
&SYSTEM
  ibrav = 0, nat = 6, ntyp = 3
/
ATOMIC_SPECIES
N 14.01 N.upf
Sb 121.76 Sb.upf
O 16.00 O.upf
CELL_PARAMETERS angstrom
3.185 0.000 -0.666
-0.177 3.503 -0.844
0.784 0.999 11.689
ATOMIC_POSITIONS crystal
N 0.500 0.346 0.000
N 0.500 0.654 0.000
Sb 0.814 0.814 0.627
Sb 0.186 0.186 0.373
O 0.856 0.356 0.711
O 0.144 0.644 0.289